Entry 1:
TeC | PBE | relaxed

Structure (POSCAR):
```
TeC
1.0
-0.534 2.836 7.629
0.867 -0.261 8.106
2.851 2.407 7.253
Te C
2 2
Direct
0.461 0.461 0.461 Te
0.289 0.289 0.289 Te
0.000 0.000 0.000 C
0.750 0.750 0.750 C
```

## Properties
* space group: R-3m

Entry 2:
TeC | PBE | relaxed

Structure (POSCAR):
```
TeC
1.0
-0.172 -2.101 -3.446
3.936 -0.836 0.313
-1.176 -4.492 2.797
Te C
2 2
Direct
0.500 0.000 0.731 Te
0.000 0.500 0.102 Te
0.500 0.500 0.917 C
0.000 0.000 0.916 C
```

## Properties
* space group: P4/nmm

Entry 3:
Te2C | PBE | relaxed

Structure (POSCAR):
```
Te2C
1.0
1.669 5.785 -0.033
-1.669 5.785 -0.033
0.000 5.265 8.200
Te C
4 2
Direct
0.486 0.486 0.867 Te
0.514 0.514 0.133 Te
0.677 0.677 0.415 Te
0.323 0.323 0.585 Te
0.873 0.873 0.407 C
0.127 0.127 0.593 C
```

## Properties
* space group: C2/m

Entry 4:
Te5C3 | PBE | relaxed

Structure (POSCAR):
```
Te5C3
1.0
13.142 0.140 -0.009
-11.738 5.913 -0.009
0.097 0.420 5.674
C Te
6 10
Direct
0.588 0.576 0.577 C
0.919 0.863 0.022 C
0.234 0.734 0.784 C
0.741 0.241 0.036 C
0.363 0.419 0.022 C
0.076 0.088 0.577 C
0.662 0.311 0.892 Te
0.686 0.758 0.867 Te
0.811 0.162 0.892 Te
0.308 0.659 0.926 Te
0.233 0.733 0.422 Te
0.741 0.241 0.397 Te
0.904 0.816 0.392 Te
0.159 0.808 0.926 Te
0.316 0.404 0.392 Te
0.258 0.186 0.867 Te
```

## Properties
* space group: Cm

Entry 5:
TeC2 | PBE | relaxed

Structure (POSCAR):
```
TeC2
1.0
3.893 0.000 0.000
1.946 3.371 0.000
1.946 1.124 3.178
Te C
1 2
Direct
0.000 0.000 0.000 Te
0.250 0.250 0.250 C
0.750 0.750 0.750 C
```

## Properties
* space group: Fm-3m

Entry 6:
Te2C | PBE | relaxed

Structure (POSCAR):
```
Te2C
1.0
3.315 0.000 0.000
-1.657 2.871 0.000
0.000 0.000 6.783
Te C
2 1
Direct
0.000 0.000 0.257 Te
0.000 0.000 0.743 Te
0.333 0.667 0.500 C
```

## Properties
* space group: P-6m2

Entry 7:
TeC2 | PBE | relaxed

Structure (POSCAR):
```
TeC2
1.0
-3.005 0.426 4.799
-1.319 -2.006 -5.146
2.803 -8.220 2.485
C Te
4 2
Direct
0.917 0.351 0.750 C
0.083 0.649 0.250 C
0.649 0.083 0.750 C
0.351 0.917 0.250 C
0.606 0.394 0.250 Te
0.394 0.606 0.750 Te
```

## Properties
* space group: Cmcm

Entry 8:
Te4C | PBE | relaxed

Structure (POSCAR):
```
Te4C
1.0
2.680 1.166 4.692
-5.318 1.416 0.515
0.373 -5.416 -1.037
C Te
1 4
Direct
0.000 0.000 0.000 C
0.000 0.500 0.000 Te
0.000 0.000 0.500 Te
0.500 0.500 0.500 Te
0.500 0.000 0.000 Te
```

## Properties
* space group: Im-3m

Entry 9:
Th7Te2C2 | PBE | relaxed

Structure (POSCAR):
```
Th7Te2C2
1.0
8.278 0.034 0.049
-0.820 6.884 -0.021
-0.820 -2.437 6.438
Th C Te
7 2 2
Direct
0.818 0.593 0.593 Th
0.197 0.916 0.514 Th
0.000 0.000 0.000 Th
0.803 0.084 0.486 Th
0.197 0.514 0.916 Th
0.803 0.486 0.084 Th
0.182 0.407 0.407 Th
0.114 0.702 0.702 C
0.886 0.298 0.298 C
0.500 0.308 0.692 Te
0.500 0.692 0.308 Te
```

## Properties
* space group: C2/m

Entry 10:
Th5Te5C | PBE | relaxed

Structure (POSCAR):
```
Th5Te5C
1.0
-5.508 2.161 1.598
1.836 -6.406 3.238
3.842 6.466 4.500
Te C Th
5 1 5
Direct
0.681 0.362 0.344 Te
0.351 0.702 0.207 Te
0.319 0.638 0.656 Te
0.649 0.298 0.793 Te
0.000 0.000 0.500 Te
0.000 0.000 0.000 C
0.500 0.000 0.000 Th
0.861 0.721 0.722 Th
0.152 0.304 0.870 Th
0.139 0.279 0.278 Th
0.848 0.696 0.130 Th
```

## Properties
* space group: C2/m

Entry 11:
Th5Te5C2 | PBE | relaxed

Structure (POSCAR):
```
Th5Te5C2
1.0
-1.236 -3.590 -1.387
-1.656 -0.021 7.417
-9.446 4.861 -4.163
C Te Th
2 5 5
Direct
0.043 0.086 0.803 C
0.957 0.914 0.197 C
0.500 0.000 0.500 Te
0.222 0.443 0.613 Te
0.330 0.661 0.907 Te
0.670 0.339 0.093 Te
0.778 0.557 0.387 Te
0.099 0.197 0.334 Th
0.364 0.727 0.212 Th
0.000 0.000 0.000 Th
0.901 0.803 0.666 Th
0.636 0.273 0.788 Th
```

## Properties
* space group: C2/m

Entry 12:
ThTeC | PBE | relaxed

Structure (POSCAR):
```
ThTeC
1.0
4.280 0.000 0.000
0.000 4.572 0.000
-2.140 -2.286 8.143
Te Th C
2 2 2
Direct
0.327 0.827 0.654 Te
0.673 0.173 0.346 Te
0.881 0.381 0.761 Th
0.119 0.619 0.239 Th
0.653 0.500 0.000 C
0.347 0.500 0.000 C
```

## Properties
* space group: Immm

Entry 13:
Th5Te2C | PBE | relaxed

Structure (POSCAR):
```
Th5Te2C
1.0
5.818 0.000 0.000
-2.909 4.983 0.000
0.000 0.000 15.583
Th C Te
10 2 4
Direct
0.576 0.153 0.635 Th
0.923 0.846 0.635 Th
0.250 0.499 0.750 Th
0.077 0.154 0.365 Th
0.923 0.846 0.865 Th
0.750 0.501 0.250 Th
0.424 0.847 0.365 Th
0.576 0.153 0.865 Th
0.077 0.154 0.135 Th
0.424 0.847 0.135 Th
0.250 0.501 0.250 C
0.750 0.499 0.750 C
0.250 0.499 0.552 Te
0.250 0.499 0.948 Te
0.750 0.501 0.052 Te
0.750 0.501 0.448 Te
```

## Properties
* space group: Cmcm

Entry 14:
Th4Te2C | PBE | relaxed

Structure (POSCAR):
```
Th4Te2C
1.0
-1.455 7.257 -2.097
-6.024 -0.373 2.887
3.459 0.547 7.288
Te Th C
4 8 2
Direct
0.230 0.250 0.933 Te
0.768 0.750 0.566 Te
0.770 0.750 0.067 Te
0.232 0.250 0.434 Te
0.497 0.508 0.750 Th
0.119 0.750 0.402 Th
0.503 0.008 0.250 Th
0.497 0.992 0.750 Th
0.881 0.250 0.598 Th
0.127 0.750 0.911 Th
0.873 0.250 0.089 Th
0.503 0.492 0.250 Th
0.286 0.750 0.199 C
0.714 0.250 0.801 C
```

## Properties
* space group: P2_1/m

Entry 15:
Th3Te2C | PBE | relaxed

Structure (POSCAR):
```
Th3Te2C
1.0
6.007 0.000 0.000
0.000 7.766 0.001
-3.003 -1.942 7.004
Th C Te
6 2 4
Direct
0.880 0.940 0.759 Th
0.500 0.250 0.000 Th
0.500 0.750 0.000 Th
0.120 0.060 0.241 Th
0.120 0.560 0.241 Th
0.880 0.440 0.759 Th
0.000 0.750 0.000 C
0.000 0.250 0.000 C
0.684 0.092 0.367 Te
0.684 0.592 0.367 Te
0.316 0.408 0.633 Te
0.316 0.908 0.633 Te
```

## Properties
* space group: Immm

Entry 16:
Th8TeC6 | PBE | relaxed

Structure (POSCAR):
```
Th8TeC6
1.0
-4.558 -3.184 4.473
0.888 -6.067 -3.650
5.508 -1.578 4.254
Th C Te
8 6 1
Direct
0.268 0.268 0.268 Th
0.609 0.857 0.298 Th
0.857 0.298 0.609 Th
0.298 0.609 0.857 Th
0.702 0.391 0.143 Th
0.732 0.732 0.732 Th
0.391 0.143 0.702 Th
0.143 0.702 0.391 Th
0.397 0.578 0.185 C
0.815 0.603 0.422 C
0.603 0.422 0.815 C
0.185 0.397 0.578 C
0.578 0.185 0.397 C
0.422 0.815 0.603 C
0.000 0.000 0.000 Te
```

## Properties
* space group: R-3

Entry 17:
Th4Te5C | PBE | relaxed

Structure (POSCAR):
```
Th4Te5C
1.0
4.217 0.000 0.000
0.000 8.476 -0.391
-2.109 -1.613 9.236
Th Te C
4 5 1
Direct
0.002 0.786 0.004 Th
0.998 0.214 0.996 Th
0.353 0.924 0.706 Th
0.647 0.076 0.294 Th
0.833 0.650 0.666 Te
0.174 0.814 0.347 Te
0.500 0.500 0.000 Te
0.167 0.350 0.334 Te
0.826 0.186 0.653 Te
0.500 0.000 0.000 C
```

## Properties
* space group: C2/m

Entry 18:
Th3Te3C | PBE | relaxed

Structure (POSCAR):
```
Th3Te3C
1.0
7.804 0.365 -0.109
-3.150 7.150 -0.109
-0.822 -1.327 7.477
Te Th C
6 6 2
Direct
0.742 0.258 0.000 Te
0.837 0.163 0.500 Te
0.258 0.742 0.000 Te
0.163 0.837 0.500 Te
0.397 0.397 0.659 Te
0.603 0.603 0.341 Te
0.901 0.901 0.173 Th
0.438 0.147 0.290 Th
0.147 0.438 0.290 Th
0.562 0.853 0.710 Th
0.853 0.562 0.710 Th
0.099 0.099 0.827 Th
0.166 0.166 0.144 C
0.834 0.834 0.856 C
```

## Properties
* space group: C2/m

Entry 19:
Th4Tl2TeC | PBE | relaxed

Structure (POSCAR):
```
Th4Tl2TeC
1.0
3.850 0.000 0.000
0.000 7.666 0.504
0.000 -2.331 7.964
C Th Tl Te
1 4 2 1
Direct
0.500 0.500 0.000 C
0.000 0.319 0.823 Th
0.000 0.681 0.177 Th
0.500 0.286 0.203 Th
0.500 0.714 0.797 Th
0.500 0.000 0.500 Tl
0.000 0.500 0.500 Tl
0.000 0.000 0.000 Te
```

## Properties
* space group: P2/m

Entry 20:
Ti6Te2C | PBE | relaxed

Structure (POSCAR):
```
Ti6Te2C
1.0
3.445 0.000 0.000
0.000 7.022 0.000
0.000 -3.511 6.068
Ti Te C
6 2 1
Direct
0.000 0.776 0.777 Ti
0.000 0.999 0.223 Ti
0.500 0.362 0.360 Ti
0.500 0.002 0.640 Ti
0.000 0.225 0.000 Ti
0.500 0.636 0.000 Ti
0.000 0.333 0.665 Te
0.000 0.667 0.335 Te
0.500 0.001 0.000 C
```

## Properties
* space group: Amm2

Entry 21:
TiTe2C | PBE | relaxed

Structure (POSCAR):
```
TiTe2C
1.0
1.951 0.000 8.418
-0.975 1.689 8.418
-0.975 -1.689 8.418
Te C Ti
2 1 1
Direct
0.106 0.106 0.106 Te
0.894 0.894 0.894 Te
0.500 0.500 0.500 C
0.000 0.000 0.000 Ti
```

## Properties
* space group: R-3m

Entry 22:
Ti6TeC | PBE | relaxed

Structure (POSCAR):
```
Ti6TeC
1.0
5.193 0.480 -0.107
-1.486 4.999 -0.107
-0.809 -1.195 5.012
Ti C Te
6 1 1
Direct
0.607 0.223 0.223 Ti
0.223 0.223 0.606 Ti
0.777 0.777 0.394 Ti
0.393 0.777 0.777 Ti
0.777 0.393 0.777 Ti
0.223 0.607 0.223 Ti
0.500 0.500 0.500 C
0.000 0.000 0.000 Te
```

## Properties
* space group: R-3m

Entry 23:
TiTe2C | PBE | relaxed

Structure (POSCAR):
```
TiTe2C
1.0
5.942 0.000 0.000
0.000 5.942 0.000
2.971 2.971 5.524
Te Ti C
4 2 2
Direct
0.571 0.125 0.250 Te
0.179 0.625 0.250 Te
0.875 0.821 0.750 Te
0.375 0.429 0.750 Te
0.750 0.250 0.500 Ti
0.000 0.000 0.000 Ti
0.500 0.500 0.000 C
0.250 0.750 0.500 C
```

## Properties
* space group: I-42d

| no. | formation energy without anion corrections (eV/atom) |
| --- | --- |
| 1 | 1.73 |
| 2 | 1.50 |
| 3 | 1.22 |
| 4 | 1.21 |
| 5 | 2.88 |
| 6 | 1.46 |
| 7 | 1.45 |
| 8 | 1.07 |
| 9 | -0.19 |
| 10 | -0.96 |
| 11 | -0.93 |
| 12 | -0.48 |
| 13 | -0.37 |
| 14 | -0.59 |
| 15 | -0.82 |
| 16 | -0.17 |
| 17 | -0.94 |
| 18 | -0.92 |
| 19 | -0.32 |
| 20 | -0.41 |
| 21 | 1.25 |
| 22 | -0.35 |
| 23 | 0.85 |